DFT (GGA-PBE) results for Tl2InPb6 after structural relaxation.

a = 6.4252 Å, b = 9.4481 Å, c = 9.4481 Å
α = 95.62°, β = 94.26°, γ = 94.26°
With the nearest neighbours (Å) after each atom.
Atoms (fractional coordinates):
Pb: 0.2389 0.9627 0.7552  1 In 3.19, 1 Tl 3.40, 4 Pb 3.43-3.57
Pb: 0.4970 0.6834 0.2628  4 Pb 3.25-3.43, 1 In 3.31, 2 Tl 3.45-3.55
Pb: 0.2242 0.5866 0.9405  1 In 3.25, 5 Pb 3.41-3.62, 2 Tl 3.45
Pb: 0.0030 0.7372 0.3166  4 Pb 3.25-3.43, 1 In 3.31, 2 Tl 3.45-3.55
Pb: 0.2758 0.0595 0.4134  1 In 3.25, 5 Pb 3.41-3.62, 2 Tl 3.45
Pb: 0.7611 0.0373 0.2448  1 In 3.19, 1 Tl 3.40, 4 Pb 3.43-3.57
Pb: 0.5030 0.3166 0.7372  4 Pb 3.25-3.43, 1 In 3.31, 2 Tl 3.45-3.55
Pb: 0.7758 0.4134 0.0595  1 In 3.25, 5 Pb 3.41-3.62, 2 Tl 3.45
Pb: 0.9970 0.2628 0.6834  4 Pb 3.25-3.43, 1 In 3.31, 2 Tl 3.45-3.55
Pb: 0.2611 0.2448 0.0373  1 In 3.19, 1 Tl 3.40, 4 Pb 3.43-3.57
Pb: 0.7242 0.9405 0.5866  1 In 3.25, 5 Pb 3.41-3.62, 2 Tl 3.45
Pb: 0.7389 0.7552 0.9627  1 In 3.19, 1 Tl 3.40, 4 Pb 3.43-3.57
Tl: 0.6159 0.3550 0.3911  3 Tl 3.25-3.48, 5 Pb 3.40-3.55
Tl: 0.1159 0.3911 0.3550  3 Tl 3.25-3.48, 5 Pb 3.40-3.55
Tl: 0.8841 0.6089 0.6450  3 Tl 3.25-3.48, 5 Pb 3.40-3.55
Tl: 0.3841 0.6450 0.6089  3 Tl 3.25-3.48, 5 Pb 3.40-3.55
In: 0.7500 0.0851 0.9149  6 Pb 3.19-3.31
In: 0.2500 0.9149 0.0851  6 Pb 3.19-3.31

Output
Energy above the lowest structure with this stoichiometry ... 0.0000 eV per atom
Crystal system ... monoclinic
Energy relative to the elements ... 0.047 eV per atom
E_tot ... -3.2557 eV/atom

---

DFT (GGA-PBE) results for Ba2Ir2N3 after structural relaxation.

a = 6.1768 Å, b = 6.1768 Å, c = 6.1768 Å
α = 60.09°, β = 60.09°, γ = 60.09°
With the nearest neighbours (Å) after each atom.
Atoms (fractional coordinates):
Ba: 0.0000 0.0000 0.0000  6 N 3.09, 2 Ir 3.11
Ba: 0.5000 0.5000 0.5000  6 N 3.09
Ir: 0.7940 0.7940 0.7940  3 N 1.88
Ir: 0.2060 0.2060 0.2060  3 N 1.88
N: 0.0000 0.5000 0.0000  2 Ir 1.88
N: 0.5000 0.0000 0.0000  2 Ir 1.88
N: 0.0000 0.0000 0.5000  2 Ir 1.88

Output
Crystal system ... trigonal
Uncorrected formation energy ... -0.02 eV per atom
E_tot ... -6.6715 eV/atom

---

DFT (GGA-PBE) results for SrZn4Ag after structural relaxation.

a = 4.3569 Å, b = 6.9332 Å, c = 8.4860 Å
α = 90.00°, β = 104.88°, γ = 90.00°
With the nearest neighbours (Å) after each atom.
Atoms (fractional coordinates):
Zn: 0.6652 0.5658 0.3305  2 Zn 2.55-2.75, 3 Ag 2.75-2.76
Zn: 0.5000 0.5000 0.0000  6 Zn 2.75-3.02
Zn: 0.6652 0.9342 0.3305  2 Zn 2.55-2.75, 3 Ag 2.75-2.76
Zn: 0.0711 0.7500 0.1422  1 Ag 2.66, 4 Zn 2.96
Zn: 0.5000 0.0000 0.0000  6 Zn 2.75-3.02
Zn: 0.3348 0.4342 0.6695  2 Zn 2.55-2.75, 3 Ag 2.75-2.76
Zn: 0.9289 0.2500 0.8578  1 Ag 2.66, 4 Zn 2.96
Zn: 0.3348 0.0658 0.6695  2 Zn 2.55-2.75, 3 Ag 2.75-2.76
Ag: 0.2334 0.7500 0.4667  7 Zn 2.66-2.76
Ag: 0.7666 0.2500 0.5333  7 Zn 2.66-2.76
Sr: 0.8803 0.7500 0.7606  9 Zn 3.13-3.41, 2 Ag 3.25
Sr: 0.1197 0.2500 0.2394  9 Zn 3.13-3.41, 2 Ag 3.25

Output
Energy above the lowest structure with this stoichiometry ... 0.0035 eV per atom
Crystal system ... orthorhombic
Energy relative to the elements ... -0.104 eV per atom
E_tot ... -1.7092 eV/atom

---

DFT (GGA-PBE) results for LaSbRh after structural relaxation.

a = 4.5530 Å, b = 4.5530 Å, c = 4.2035 Å
α = 90.00°, β = 90.00°, γ = 120.00°
With the nearest neighbours (Å) after each atom.
Atoms (fractional coordinates):
Rh: 0.6667 0.3333 0.5006  3 Sb 2.63
La: 0.0000 0.0000 0.9996  6 Rh 3.36-3.37, 6 Sb 3.37
Sb: 0.3333 0.6667 0.4998  3 Rh 2.63

Output
Crystal system ... hexagonal
Uncorrected formation energy ... -0.97 eV per atom
E_tot ... -6.4351 eV/atom

---

DFT (GGA-PBE) results for Au2SeBr after structural relaxation.

a = 7.0956 Å, b = 7.0956 Å, c = 7.0956 Å
α = 32.26°, β = 32.26°, γ = 32.26°
With the nearest neighbours (Å) after each atom.
Atoms (fractional coordinates):
Se: 0.7500 0.7500 0.7500  6 Au 2.72
Au: 0.4904 0.4904 0.4904  3 Se 2.72, 3 Br 2.95
Au: 0.0096 0.0096 0.0096  3 Se 2.72, 3 Br 2.95
Br: 0.2500 0.2500 0.2500  6 Au 2.95

Output
Energy above the lowest structure with this stoichiometry ... 0.0998 eV per atom
Crystal system ... trigonal
Uncorrected formation energy ... 0.11 eV per atom
E_tot ... -2.8130 eV/atom

---

DFT (GGA-PBE) results for CsCIN2 after structural relaxation.

a = 4.9335 Å, b = 4.9335 Å, c = 4.6657 Å
α = 90.00°, β = 90.00°, γ = 90.00°
With the nearest neighbours (Å) after each atom.
Atoms (fractional coordinates):
Cs: 0.5000 0.5000 0.5000  8 N 3.40, 4 I 3.49
I: 0.0000 0.0000 0.5000  2 C 2.33
N: 0.0000 0.5000 0.0000  2 C 2.47
N: 0.5000 0.0000 0.0000  2 C 2.47
C: 0.0000 0.0000 0.0000  2 I 2.33, 4 N 2.47

Output
Energy above the lowest structure with this stoichiometry ... 0.0000 eV per atom
Crystal system ... tetragonal
Uncorrected formation energy ... 2.36 eV per atom
E_tot ... -3.2941 eV/atom